Computed, not measured: a crystal of TbNi4P2 relaxed with PBEsol at the meta-GGA SCAN level of DFT.

Output
E: -19.743 eV per atom

Cell and atoms, written as CIF:
```
data_TbNi4P2
_chemical_formula_sum 'Tb2 Ni8 P4'
_cell_length_a 7.003
_cell_length_b 7.003
_cell_length_c 3.570
_cell_angle_alpha 90.00
_cell_angle_beta 90.00
_cell_angle_gamma 90.00
_symmetry_space_group_name_H-M 'P 1'
_symmetry_Int_Tables_number 1
_symmetry_space_group_name_Hall 'P 1'
loop_
_atom_site_label
_atom_site_type_symbol
_atom_site_fract_x
_atom_site_fract_y
_atom_site_fract_z
_atom_site_occupancy
Tb1 Tb 0.000 0.000 0.000 1
Tb2 Tb 0.500 0.500 0.500 1
Ni1 Ni 0.085 0.338 0.500 1
Ni2 Ni 0.162 0.585 0.000 1
Ni3 Ni 0.338 0.085 0.500 1
Ni4 Ni 0.415 0.838 0.000 1
Ni5 Ni 0.585 0.162 0.000 1
Ni6 Ni 0.662 0.915 0.500 1
Ni7 Ni 0.838 0.415 0.000 1
Ni8 Ni 0.915 0.662 0.500 1
P1 P 0.220 0.780 0.500 1
P2 P 0.280 0.280 0.000 1
P3 P 0.720 0.720 0.000 1
P4 P 0.780 0.220 0.500 1
```

Computed, not measured: a crystal of CaTlRh2 relaxed with PBEsol at the meta-GGA SCAN level of DFT.

Output
E: -37.236 eV per atom

Cell and atoms, written as CIF:
```
data_CaTlRh2
_chemical_formula_sum 'Ca1 Tl1 Rh2'
_cell_length_a 8.595
_cell_length_b 8.595
_cell_length_c 8.595
_cell_angle_alpha 21.56
_cell_angle_beta 21.56
_cell_angle_gamma 21.56
_symmetry_space_group_name_H-M 'P 1'
_symmetry_Int_Tables_number 1
_symmetry_space_group_name_Hall 'P 1'
loop_
_atom_site_label
_atom_site_type_symbol
_atom_site_fract_x
_atom_site_fract_y
_atom_site_fract_z
_atom_site_occupancy
Ca1 Ca 0.000 0.000 0.000 1
Tl1 Tl 0.500 0.500 0.500 1
Rh1 Rh 0.247 0.247 0.247 1
Rh2 Rh 0.753 0.753 0.753 1
```

Computed, not measured: a crystal of Tl2AgHg relaxed with PBEsol at the meta-GGA SCAN level of DFT.

Output
excess energy over the best structure of this formula in the dataset: 0.0202 eV per atom
E: -60.964 eV per atom

Cell and atoms, written as CIF:
```
data_Tl2AgHg
_chemical_formula_sum 'Tl2 Ag1 Hg1'
_cell_length_a 3.403
_cell_length_b 3.693
_cell_length_c 7.543
_cell_angle_alpha 90.00
_cell_angle_beta 90.00
_cell_angle_gamma 90.00
_symmetry_space_group_name_H-M 'P 1'
_symmetry_Int_Tables_number 1
_symmetry_space_group_name_Hall 'P 1'
loop_
_atom_site_label
_atom_site_type_symbol
_atom_site_fract_x
_atom_site_fract_y
_atom_site_fract_z
_atom_site_occupancy
Tl1 Tl 0.000 0.000 0.231 1
Tl2 Tl 0.000 0.000 0.769 1
Ag1 Ag 0.500 0.500 0.000 1
Hg1 Hg 0.500 0.500 0.500 1
```

It is found that the magnetization values, taken in the order of the records, are 0.0; 0.0; 0.0 μB/f.u..
It is found that the energy of formation from the pure elements values, taken in the order of the records, are -5.9; 0.6; 0.4 eV/f.u..